DFT (PBE) results for crystalline Dy4Co2Au at its relaxed geometry.

Unit cell a=7.254 b=7.259 c=7.632 alpha=108.61 beta=108.62 gamma=109.14
Positions (direct):
Dy  0.011  0.247  0.401
Dy  0.374  0.507  0.222
Dy  0.845  0.609  0.598
Dy  0.756  0.123  0.722
Dy  0.401  0.035  0.279
Dy  0.284  0.151  0.777
Dy  0.497  0.762  0.903
Dy  0.859  0.595  0.098
Co  0.507  0.384  0.645
Co  0.739  0.863  0.356
Co  0.633  0.259  0.146
Co  0.113  0.486  0.853
Au  0.241  0.740  0.500
Au  0.991  0.990  0.000

Energy of formation from the pure elements   -2.12 eV/f.u.